No. 1
{"formula": "Na5Th3S8", "functional": "PBE-GGA", "state": "optimized geometry", "lattice_angstrom": [[7.146, 0.000, 4.093], [2.401, 6.730, 4.093], [0.058, 0.041, 8.183]], "species": ["Na", "Na", "Na", "Na", "Na", "Th", "Th", "Th", "S", "S", "S", "S", "S", "S", "S", "S"], "fractional_positions": [[0.500, 0.000, 0.000], [0.500, 0.500, 0.000], [0.000, 0.000, 0.000], [0.000, 0.500, 0.000], [0.500, 0.500, 0.500], [0.500, 0.000, 0.500], [0.000, 0.000, 0.500], [0.000, 0.500, 0.500], [0.249, 0.249, 0.733], [0.249, 0.769, 0.733], [0.769, 0.249, 0.733], [0.755, 0.755, 0.736], [0.751, 0.751, 0.267], [0.751, 0.231, 0.267], [0.231, 0.751, 0.267], [0.245, 0.245, 0.264]], "spacegroup": "R-3m", "formation_energy_uncorrected_ev_per_atom": -1.6203, "energy_ev_per_atom": -5.487}

***

No. 2
{"formula": "Nd2Dy2Tm5", "functional": "PBE-GGA", "state": "optimized geometry", "lattice_angstrom": [[3.399, 0.000, -0.701], [-0.483, 7.817, -2.341], [0.717, -2.954, 12.066]], "species": ["Nd", "Nd", "Dy", "Dy", "Tm", "Tm", "Tm", "Tm", "Tm"], "fractional_positions": [[0.818, 0.779, 0.636], [0.182, 0.221, 0.364], [0.546, 0.738, 0.093], [0.454, 0.262, 0.907], [0.691, 0.852, 0.381], [0.309, 0.148, 0.619], [0.904, 0.539, 0.807], [0.096, 0.461, 0.193], [0.000, 0.000, 0.000]], "spacegroup": "C2/m", "energy_ev_per_atom": -4.335, "ef_ev_per_atom": 0.2318, "e_above_lowest_polymorph_ev_per_atom": 0.0165}

***

No. 3
{"formula": "TcPd2Rh", "functional": "PBE-GGA", "state": "optimized geometry", "lattice_angstrom": [[0.000, 3.105, 3.105], [3.105, 0.000, 3.105], [3.105, 3.105, 0.000]], "species": ["Rh", "Tc", "Pd", "Pd"], "fractional_positions": [[0.500, 0.500, 0.500], [0.000, 0.000, 0.000], [0.250, 0.250, 0.250], [0.750, 0.750, 0.750]], "spacegroup": "Fm-3m", "energy_ev_per_atom": -6.699, "ef_ev_per_atom": 0.3266, "e_above_lowest_polymorph_ev_per_atom": 0.0000}

***

No. 4
{"formula": "LiPaCoGe", "functional": "PBE-GGA", "state": "optimized geometry", "lattice_angstrom": [[4.472, 0.000, 0.000], [2.236, 3.873, 0.000], [2.236, 1.291, 3.652]], "species": ["Ge", "Pa", "Co", "Li"], "fractional_positions": [[0.500, 0.500, 0.500], [0.000, 0.000, 0.000], [0.750, 0.750, 0.750], [0.250, 0.250, 0.250]], "spacegroup": "F-43m", "energy_ev_per_atom": -6.055, "ef_ev_per_atom": -0.2713}

***

No. 5
{"formula": "RuIN2F", "functional": "PBE-GGA", "state": "optimized geometry", "lattice_angstrom": [[4.159, 0.000, 0.000], [0.000, 4.159, 0.000], [0.000, 0.000, 4.352]], "species": ["I", "Ru", "N", "N", "F"], "fractional_positions": [[0.000, 0.000, 0.000], [0.500, 0.500, 0.500], [0.000, 0.500, 0.000], [0.500, 0.000, 0.000], [0.000, 0.000, 0.500]], "spacegroup": "P4/mmm", "formation_energy_uncorrected_ev_per_atom": 1.8956, "energy_ev_per_atom": -3.974, "e_above_lowest_polymorph_ev_per_atom": 1.2750}